A geometry-optimized La6HgP2Br3 structure, computed with PBE.

Unit cell a=4.2866 b=8.9706 c=9.8858 alpha=104.22 beta=102.52 gamma=90.00
Atoms (fractional coordinates):
La1 0.3324 0.8845 0.6647
La2 0.6748 0.5609 0.3495
La3 0.6676 0.1155 0.3353
La4 0.0128 0.2553 0.0256
La5 0.9872 0.7447 0.9744
La6 0.3252 0.4391 0.6505
Hg1 0.5000 0.0000 0.0000
P1 0.8304 0.6635 0.6607
P2 0.1696 0.3365 0.3393
Br1 0.5000 0.5000 0.0000
Br2 0.8364 0.1688 0.6728
Br3 0.1636 0.8312 0.3272

Summary:
Space-group type: C2/m
Formation energy from raw total energies (meV/atom): -1329
Total magnetization (μB per cell): 0.0